1.
12
Lattice="-1.850 2.844 2.630 -5.182 2.386 -6.226 -5.096 -7.531 4.559" Properties=species:S:1:pos:R:3 comment="CaTmAgTe3 | Alexandria via LeMat-Bulk | GGA-PBE | relaxed" dft_energy_ev_per_cell=-51.2 e_form_raw_ev_per_atom=-1.14 crystal_system=monoclinic space_group="No. 11" volume_a3_per_atom=29.89 pbc="T T T"
Te -6.896 3.285 -3.148
Te -5.232 -5.586 4.111
Ag -8.241 1.205 -1.845
Ca -2.937 -0.859 0.614
Te -7.844 -4.342 0.929
Te -4.284 2.042 0.034
Tm -4.863 1.041 -2.794
Te -5.505 -1.130 2.605
Ca -9.191 -1.441 0.349
Te -6.623 -1.170 -1.642
Ag -3.887 -3.506 2.808
Tm -7.266 -3.341 3.758

2.
4
Lattice="3.593 0.000 -0.019 0.000 4.335 0.000 -1.757 0.000 5.132" Properties=species:S:1:pos:R:3 comment="CeHoNi2 | Alexandria via LeMat-Bulk | GGA-PBE | relaxed" ef_ev_per_atom=-0.40 dft_energy_ev_per_cell=-23.7 crystal_system=monoclinic space_group="No. 6" volume_a3_per_atom=19.95 pbc="T T T"
Ce 0.865 0.000 4.974
Ni -0.937 2.168 4.448
Ho 0.847 2.168 2.184
Ni -0.945 0.000 2.831

3.
4
Lattice="3.225 0.000 0.000 0.000 3.225 0.000 0.000 0.000 4.291" Properties=species:S:1:pos:R:3 comment="AlPdO2 | Alexandria via LeMat-Bulk | GGA-PBE | relaxed" dft_energy_ev_per_cell=-22.3 e_form_raw_ev_per_atom=-0.86 crystal_system=tetragonal space_group="No. 123" volume_a3_per_atom=11.16 pbc="T T T"
O 0.000 0.000 0.000
Al 1.613 1.613 0.000
O 1.613 1.613 2.146
Pd 0.000 0.000 2.146

4.
8
Lattice="-3.062 -2.731 1.655 -0.043 -4.259 -1.195 3.529 -3.981 5.872" Properties=species:S:1:pos:R:3 comment="TmZn2CuPd4 | Alexandria via LeMat-Bulk | GGA-PBE | relaxed" ef_ev_per_atom=-0.57 dft_energy_ev_per_cell=-36.5 crystal_system=trigonal space_group="No. 166" volume_a3_per_atom=15.89 pbc="T T T"
Pd 1.772 -6.050 5.121
Pd -1.349 -4.921 1.211
Zn 0.175 -2.768 1.669
Zn 0.249 -8.203 4.663
Pd 1.790 -3.352 3.693
Cu 0.212 -5.485 3.166
Tm 0.000 0.000 0.000
Pd -1.367 -7.619 2.638

5.
11
Lattice="4.342 0.000 0.000 0.000 4.342 0.000 0.000 0.000 11.050" Properties=species:S:1:pos:R:3 comment="Pa2TcGe8 | Alexandria via LeMat-Bulk | GGA-PBE | relaxed" ef_ev_per_atom=-0.37 dft_energy_ev_per_cell=-70.4 crystal_system=tetragonal space_group="No. 123" volume_a3_per_atom=18.94 pbc="T T T"
Ge 2.171 2.171 7.644
Tc 0.000 0.000 0.000
Ge 0.000 2.171 9.680
Pa 0.000 0.000 3.450
Ge 2.171 2.171 3.406
Pa 0.000 0.000 7.600
Ge 2.171 0.000 9.680
Ge 0.000 2.171 1.370
Ge 2.171 0.000 5.525
Ge 0.000 2.171 5.525
Ge 2.171 0.000 1.370

6.
3
Lattice="7.106 0.032 -0.032 6.375 3.141 0.028 0.731 0.112 3.107" Properties=species:S:1:pos:R:3 comment="CdAgSb | Alexandria via LeMat-Bulk | GGA-PBE | relaxed" dft_energy_ev_per_cell=-7.6 e_form_raw_ev_per_atom=0.09 crystal_system=tetragonal space_group="No. 107" volume_a3_per_atom=22.92 pbc="T T T"
Cd 5.193 1.183 2.019
Sb 9.107 2.123 1.063
Ag 13.394 3.152 0.017

7.
5
Lattice="4.166 0.000 0.000 0.000 4.166 0.000 0.000 0.000 4.166" Properties=species:S:1:pos:R:3 comment="LiMgOs3 | Alexandria via LeMat-Bulk | GGA-PBE | relaxed" ef_ev_per_atom=1.30 dft_energy_ev_per_cell=-30.7 crystal_system=cubic space_group="No. 221" volume_a3_per_atom=14.46 pbc="T T T"
Os 0.000 0.000 2.083
Li 0.000 0.000 0.000
Os 0.000 2.083 0.000
Os 2.083 0.000 0.000
Mg 2.083 2.083 2.083

8.
6
Lattice="-4.050 4.464 -1.490 -5.840 -1.482 -1.502 -4.650 1.392 3.872" Properties=species:S:1:pos:R:3 comment="ErSn4Pb | Alexandria via LeMat-Bulk | GGA-PBE | relaxed" ef_ev_per_atom=-0.07 dft_energy_ev_per_cell=-24.7 crystal_system=cubic space_group="No. 216" volume_a3_per_atom=28.21 pbc="T T T"
Sn -7.062 0.499 1.296
Pb -3.635 1.094 0.220
Sn -6.762 2.038 -1.389
Sn -6.166 3.477 1.302
Sn -9.091 2.735 0.550
Er 0.000 0.000 0.000